Entry 1:
Entry from the Alexandria database: a relaxed structure of HgRuRh2 (GGA-PBE).

Summary:
For the size of the total moment, the calculation gives 0.000 μB/f.u. The total energy is -0.3968 Ry/atom.

Unit cell a=7.1515 b=7.1515 c=5.7510 alpha=51.56 beta=51.56 gamma=90.00
Sites, in units of the cell vectors:
Rh 0.5892 0.1250 0.2500
Rh 0.1608 0.6250 0.2500
Rh 0.3750 0.4108 0.7500
Rh 0.8750 0.8392 0.7500
Hg 0.7500 0.2500 0.5000
Hg 0.0000 0.0000 0.0000
Ru 0.5000 0.5000 0.0000
Ru 0.2500 0.7500 0.5000



Entry 2:
Entry from the Alexandria database: a relaxed structure of HgRuRh2 (GGA-PBE).

Summary:
For the size of the total moment, the calculation gives 0.000 μB/f.u. The total energy is -0.4273 Ry/atom.

Unit cell a=2.8171 b=2.8171 c=7.9075 alpha=90.00 beta=90.00 gamma=90.00
Sites, in units of the cell vectors:
Rh 0.0000 0.0000 0.0194
Rh 0.5000 0.5000 0.2557
Ru 0.0000 0.0000 0.4746
Hg 0.5000 0.5000 0.7503



Entry 3:
Entry from the Alexandria database: a relaxed structure of HgRu3Rh (GGA-PBE).

Summary:
For the size of the total moment, the calculation gives 3.522 μB/f.u. The total energy is -0.3935 Ry/atom. The energy relative to the lowest polymorph listed for this composition comes out at 0.00 eV per formula unit.

Unit cell a=4.7021 b=4.7021 c=4.7021 alpha=90.00 beta=90.00 gamma=90.00
Last column: magnetic moment on the atom in μB.
Sites, in units of the cell vectors:
Ru 0.5000 0.0000 0.0000  0.80
Ru 0.0000 0.0000 0.5000  1.35
Ru 0.0000 0.5000 0.0000  1.12
Rh 0.0000 0.0000 0.0000  0.15
Hg 0.5000 0.5000 0.5000  0.01



Entry 4:
Entry from the Alexandria database: a relaxed structure of HgRuRh2 (GGA-PBE).

Summary:
For the size of the total moment, the calculation gives 0.003 μB/f.u. The total energy is -0.4179 Ry/atom.

Unit cell a=5.5680 b=5.5680 c=5.5680 alpha=150.70 beta=130.22 gamma=58.82
Sites, in units of the cell vectors:
Hg 0.2532 0.7532 0.5000
Ru 0.5214 0.5214 0.0000
Rh 0.9822 0.9822 0.0000
Rh 0.7432 0.2432 0.5000



Entry 5:
Entry from the Alexandria database: a relaxed structure of Hg2Ru2Rh (GGA-PBE).

Summary:
For the size of the total moment, the calculation gives 5.305 μB/f.u. The total energy is -0.2270 Ry/atom.

Unit cell a=5.0057 b=5.0057 c=5.0915 alpha=90.00 beta=90.00 gamma=90.00
Last column: magnetic moment on the atom in μB.
Sites, in units of the cell vectors:
Hg 0.0000 0.0000 0.5000  0.00
Hg 0.0000 0.0000 0.0000  0.01
Rh 0.5000 0.5000 0.5000  1.14
Ru 0.5000 0.0000 0.0000  2.01
Ru 0.0000 0.5000 0.0000  2.01



Entry 6:
Entry from the Alexandria database: a relaxed structure of HgRuRh2 (GGA-PBE).

Summary:
For the size of the total moment, the calculation gives 0.647 μB/f.u. The total energy is -0.4244 Ry/atom.

Unit cell a=4.7985 b=4.7985 c=4.9419 alpha=80.63 beta=80.63 gamma=34.04
Last column: magnetic moment on the atom in μB.
Sites, in units of the cell vectors:
Rh 0.4925 0.4925 0.5217  0.05
Rh 0.0075 0.0075 0.9783  0.05
Hg 0.2500 0.2500 0.2500  0.01
Ru 0.7500 0.7500 0.7500  0.52



Entry 7:
Entry from the Alexandria database: a relaxed structure of HgRuRh2 (GGA-PBE).

Summary:
For the size of the total moment, the calculation gives 0.000 μB/f.u. The total energy is -0.4226 Ry/atom.

Unit cell a=4.5192 b=2.8092 c=4.9530 alpha=89.98 beta=90.00 gamma=90.00
Sites, in units of the cell vectors:
Hg 0.5000 0.6252 0.7876
Ru 0.0000 0.6246 0.4379
Rh 0.0000 0.1250 0.9820
Rh 0.5000 0.1251 0.2925



Entry 8:
Entry from the Alexandria database: a relaxed structure of HgRuRh2 (GGA-PBE).

Summary:
For the size of the total moment, the calculation gives 1.103 μB/f.u. The total energy is -0.4120 Ry/atom.

Unit cell a=2.7892 b=2.7892 c=9.4927 alpha=90.00 beta=90.00 gamma=119.46
Last column: magnetic moment on the atom in μB.
Sites, in units of the cell vectors:
Hg 0.5000 0.5000 0.7518  0.00
Ru 0.0000 0.0000 0.4840  0.84
Rh 0.5000 0.5000 0.2520  0.16
Rh 0.0000 0.0000 0.0122  0.05



Entry 9:
Entry from the Alexandria database: a relaxed structure of HgRu2Rh (GGA-PBE).

Summary:
For the size of the total moment, the calculation gives 0.002 μB/f.u. The total energy is -0.4499 Ry/atom.

Unit cell a=4.8776 b=4.8776 c=4.8776 alpha=132.49 beta=132.49 gamma=69.46
Sites, in units of the cell vectors:
Rh 0.7500 0.2500 0.5000
Ru 0.0000 0.0000 0.0000
Ru 0.2500 0.7500 0.5000
Hg 0.5000 0.5000 0.0000



Entry 10:
Entry from the Alexandria database: a relaxed structure of HgRu2Rh (GGA-PBE).

Summary:
For the size of the total moment, the calculation gives 0.000 μB/f.u. The total energy is -0.4448 Ry/atom.

Unit cell a=5.5429 b=5.5429 c=5.5429 alpha=150.62 beta=129.57 gamma=59.45
Sites, in units of the cell vectors:
Hg 0.5038 0.5038 0.0000
Ru 0.9910 0.9910 0.0000
Ru 0.7728 0.2728 0.5000
Rh 0.2324 0.7324 0.5000



Entry 11:
Entry from the Alexandria database: a relaxed structure of HgRuRh2 (GGA-PBE).

Summary:
For the size of the total moment, the calculation gives 0.001 μB/f.u. The total energy is -0.4223 Ry/atom.

Unit cell a=4.8849 b=4.8849 c=4.8849 alpha=132.42 beta=132.42 gamma=69.56
Sites, in units of the cell vectors:
Ru 0.5000 0.5000 0.0000
Rh 0.2500 0.7500 0.5000
Rh 0.0000 0.0000 0.0000
Hg 0.7500 0.2500 0.5000



Entry 12:
Entry from the Alexandria database: a relaxed structure of HgRuRh3 (GGA-PBE).

Summary:
For the size of the total moment, the calculation gives 0.000 μB/f.u. The total energy is -0.3777 Ry/atom. The energy relative to the lowest polymorph listed for this composition comes out at 0.00 eV per formula unit.

Unit cell a=4.6878 b=4.6878 c=4.6878 alpha=90.00 beta=90.00 gamma=90.00
Sites, in units of the cell vectors:
Hg 0.5000 0.5000 0.5000
Rh 0.0000 0.5000 0.0000
Rh 0.0000 0.0000 0.5000
Rh 0.5000 0.0000 0.0000
Ru 0.0000 0.0000 0.0000



| no. | formation energy from the elements (meV per atom) |
| --- | --- |
| 1 | 671 |
| 2 | 256 |
| 3 | 1743 |
| 4 | 384 |
| 5 | 2213 |
| 6 | 296 |
| 7 | 320 |
| 8 | 465 |
| 9 | 430 |
| 10 | 500 |
| 11 | 324 |
| 12 | 1188 |